[1]
K3Ag2BiCl9 | GGA-PBE | relaxed

a = 7.4651 Å, b = 7.4651 Å, c = 9.3500 Å
α = 90.00°, β = 90.00°, γ = 120.00°
With the nearest neighbours (Å) after each atom.
Space group P-3m1 (No. 164)
Symmetry-distinct sites (fractional):
K 0.0000 0.0000 0.0000  12 Cl 3.73-3.74
K 0.3333 0.6667 0.7293  3 Cl 3.32
Ag 0.3333 0.6667 0.1573  6 Cl 2.61-2.67
Bi 0.0000 0.0000 0.5000  6 Cl 2.70
Cl 0.0000 0.5000 0.0000  2 Ag 2.61
Cl 0.1666 0.3332 0.3264  1 Ag 2.67, 1 Bi 2.70

Values from the calculation:
Its energy relative to the elements, uncorrected is -1.18 eV/atom.



[2]
PtBr2 | GGA-PBE | relaxed

a = 3.6317 Å, b = 14.3412 Å, c = 8.6804 Å
α = 90.00°, β = 90.00°, γ = 90.00°
With the nearest neighbours (Å) after each atom.
Space group Cmcm (No. 63)
Symmetry-distinct sites (fractional):
Pt 0.0000 0.0999 0.2500  4 Br 2.46
Br 0.0000 0.2847 0.7500  2 Pt 2.46
Br 0.0000 0.4845 0.2500  2 Pt 2.46

Values from the calculation:
Its energy relative to the elements, uncorrected is -0.17 eV/atom.



[3]
Y6Pd2Au | GGA-PBE | relaxed

a = 9.5009 Å, b = 9.7051 Å, c = 10.1796 Å
α = 90.00°, β = 90.00°, γ = 90.00°
With the nearest neighbours (Å) after each atom.
Space group Immm (No. 71)
Symmetry-distinct sites (fractional):
Y 0.0000 0.1888 0.2436  1 Pd 2.90, 2 Au 3.08-3.19
Y 0.2022 0.5000 0.1693  3 Pd 2.78-3.00
Y 0.2200 0.3218 0.5000  3 Pd 3.03-3.10, 1 Au 3.17
Pd 0.0000 0.3431 0.0000  8 Y 2.90-3.10, 1 Pd 3.05
Pd 0.0000 0.5000 0.3670  1 Pd 2.71, 6 Y 2.78-3.03
Au 0.0000 0.0000 0.0000  8 Y 3.08-3.17, 2 Pd 3.33
Au 0.0000 0.0000 0.5000  8 Y 3.19-3.31

Values from the calculation:
The value obtained for the calculated formation energy is -0.60 eV/atom.



[4]
MoOsRh2 | GGA-PBE | relaxed

a = 6.2052 Å, b = 6.2052 Å, c = 6.2052 Å
α = 90.00°, β = 90.00°, γ = 90.00°
With the nearest neighbours (Å) after each atom.
Space group Fm-3m (No. 225)
Symmetry-distinct sites (fractional):
Mo 0.0000 0.0000 0.0000  8 Rh 2.69
Os 0.0000 0.0000 0.5000  8 Rh 2.69
Rh 0.2500 0.2500 0.2500  4 Mo 2.69, 4 Os 2.69

Values from the calculation:
The energy above the most stable polymorph in this dataset comes out at 0.634 eV/atom. The value obtained for the calculated formation energy is 0.45 eV/atom.